# 1
Entry from Alexandria via LeMat-Bulk: an optimized crystal structure of CsErMgS3 (PBE).

Cell lengths 4.119, 9.286, 10.123 Å; angles 111.25, 90.00, 90.00 degrees
Element x y z (fractional)
S 0.250 0.521 0.852
S 0.750 0.479 0.148
S 0.250 0.809 0.446
S 0.750 0.868 0.138
S 0.750 0.191 0.554
S 0.250 0.132 0.862
Cs 0.250 0.220 0.238
Cs 0.750 0.780 0.762
Mg 0.750 0.915 0.387
Mg 0.250 0.085 0.613
Er 0.750 0.334 0.869
Er 0.250 0.666 0.131

Values from the calculation:
**SG**: P2_1/m
**Calculated total energy**: -4.9173 eV/atom

# 2
Entry from Alexandria via LeMat-Bulk: an optimized crystal structure of CsErMgSe3 (PBE).

Cell lengths 4.274, 9.629, 10.503 Å; angles 111.55, 90.00, 90.00 degrees
Element x y z (fractional)
Mg 0.750 0.914 0.388
Mg 0.250 0.086 0.612
Se 0.750 0.478 0.152
Se 0.250 0.128 0.864
Se 0.250 0.522 0.848
Se 0.750 0.872 0.136
Se 0.250 0.800 0.449
Se 0.750 0.200 0.551
Er 0.750 0.333 0.869
Er 0.250 0.667 0.131
Cs 0.250 0.219 0.240
Cs 0.750 0.781 0.760

Values from the calculation:
**SG**: P2_1/m
**Calculated total energy**: -4.4797 eV/atom

# 3
Entry from Alexandria via LeMat-Bulk: an optimized crystal structure of Cs3Er2MgSe6 (PBE).

Cell lengths 7.274, 7.274, 8.707 Å; angles 98.02, 98.02, 120.01 degrees
Element x y z (fractional)
Cs 0.500 0.500 0.500
Cs 0.167 0.833 0.500
Cs 0.833 0.167 0.500
Er 0.334 0.666 0.000
Er 0.666 0.334 0.000
Se 0.270 0.270 0.818
Se 0.609 0.940 0.818
Se 0.060 0.391 0.182
Se 0.391 0.060 0.182
Se 0.730 0.730 0.182
Se 0.940 0.609 0.818
Mg 0.000 0.000 0.000

Values from the calculation:
**SG**: C2/m
**Calculated total energy**: -4.2756 eV/atom

# 4
Entry from Alexandria via LeMat-Bulk: an optimized crystal structure of Cs2ErMg2Se4 (PBE).

Cell lengths 4.296, 8.541, 8.356 Å; angles 106.35, 104.89, 90.00 degrees
Element x y z (fractional)
Mg 0.328 0.023 0.657
Mg 0.672 0.977 0.343
Cs 0.127 0.540 0.254
Cs 0.873 0.460 0.746
Se 0.197 0.160 0.394
Se 0.519 0.781 0.038
Se 0.481 0.219 0.962
Se 0.803 0.840 0.606
Er 0.000 0.000 0.000

Values from the calculation:
**SG**: C2/m
**Calculated total energy**: -3.8925 eV/atom

# 5
Entry from Alexandria via LeMat-Bulk: an optimized crystal structure of Cs3Er2MgTe6 (PBE).

Cell lengths 7.743, 7.743, 9.351 Å; angles 97.94, 97.94, 120.03 degrees
Element x y z (fractional)
Mg 0.000 0.000 0.000
Te 0.608 0.938 0.814
Te 0.938 0.608 0.814
Te 0.392 0.062 0.186
Te 0.268 0.268 0.813
Te 0.732 0.732 0.187
Te 0.062 0.392 0.186
Er 0.334 0.666 0.000
Er 0.666 0.334 0.000
Cs 0.832 0.168 0.500
Cs 0.168 0.832 0.500
Cs 0.500 0.500 0.500

Values from the calculation:
**SG**: C2/m
**Calculated total energy**: -3.8141 eV/atom

Q: Which value of calculated total energy does entry 3 give?
A: -4.2756 eV/atom

What did the second record say?
Entry from Alexandria via LeMat-Bulk: an optimized crystal structure of CsErMgSe3 (PBE).

Cell lengths 4.274, 9.629, 10.503 Å; angles 111.55, 90.00, 90.00 degrees
Element x y z (fractional)
Mg 0.750 0.914 0.388
Mg 0.250 0.086 0.612
Se 0.750 0.478 0.152
Se 0.250 0.128 0.864
Se 0.250 0.522 0.848
Se 0.750 0.872 0.136
Se 0.250 0.800 0.449
Se 0.750 0.200 0.551
Er 0.750 0.333 0.869
Er 0.250 0.667 0.131
Cs 0.250 0.219 0.240
Cs 0.750 0.781 0.760

Values from the calculation:
**SG**: P2_1/m
**Calculated total energy**: -4.4797 eV/atom